ZrHgTe2: optimized geometry, PBE.

Output
V	34.462	Å³ per atom
total moment	0.000	μB per atom
N(E_F)	0.23	states/eV per atom
space-group type	P1, No. 1
mass density	6.589	g cm⁻³
raw total energy	-17.7	eV for the cell shown

Lattice parameters (Å, degrees): 3.9376 3.9387 10.2622 90.43 90.03 119.99
With the nearest neighbours (Å) after each atom.
Positions (direct):
Zr 0.0000 0.0000 0.0000  6 Te 2.92
Hg 0.0062 0.0028 0.5000  6 Hg 3.94, 6 Te 3.98-4.04
Te 0.3305 0.6617 0.8218  3 Zr 2.92
Te 0.6695 0.3384 0.1782  3 Zr 2.92

---

ZrHgTe2: optimized geometry, PBE.

Output
V	32.486	Å³ per atom
total moment	0.000	μB per atom
N(E_F)	0.21	states/eV per atom
space-group type	R-3m, No. 166
mass density	6.990	g cm⁻³
raw total energy	-17.7	eV for the cell shown

Lattice parameters (Å, degrees): 9.8408 9.8408 9.8408 23.21 23.21 23.21
With the nearest neighbours (Å) after each atom.
Positions (direct):
Zr 0.0000 0.0000 0.0000  6 Te 2.92
Hg 0.5000 0.5000 0.5000  6 Te 3.75, 6 Hg 3.96
Te 0.2701 0.2701 0.2701  3 Zr 2.92
Te 0.7299 0.7299 0.7299  3 Zr 2.92

---

ZrHgTe2: optimized geometry, PBE.

Output
V	30.043	Å³ per atom
total moment	0.000	μB per atom
N(E_F)	1.05	states/eV per atom
space-group type	R-3m, No. 166
mass density	7.559	g cm⁻³
raw total energy	-14.6	eV for the cell shown

Lattice parameters (Å, degrees): 13.1544 13.1544 13.1544 14.26 14.26 14.26
With the nearest neighbours (Å) after each atom.
Positions (direct):
Zr 0.0000 0.0000 0.0000  2 Te 2.93, 6 Zr 3.26
Hg 0.5000 0.5000 0.5000  6 Hg 3.26
Te 0.0750 0.0750 0.0750  1 Zr 2.93, 6 Te 3.26
Te 0.9250 0.9250 0.9250  1 Zr 2.93, 6 Te 3.26

---

ZrHgTe2: optimized geometry, PBE.

Output
V	42.158	Å³ per atom
total moment	0.000	μB per atom
N(E_F)	0.00	states/eV per atom
space-group type	I4/mcm, No. 140
mass density	5.386	g cm⁻³
raw total energy	-33.3	eV for the cell shown

Lattice parameters (Å, degrees): 7.7267 7.7267 7.7267 102.66 102.66 124.17
With the nearest neighbours (Å) after each atom.
Positions (direct):
Zr 0.2500 0.7500 0.5000  4 Te 2.78
Zr 0.7500 0.2500 0.5000  4 Te 2.78
Hg 0.2500 0.2500 0.0000  2 Hg 3.62
Hg 0.7500 0.7500 0.0000  2 Hg 3.62
Te 0.1547 0.6547 0.8095  2 Zr 2.78
Te 0.3453 0.1547 0.5000  2 Zr 2.78
Te 0.6547 0.8453 0.5000  2 Zr 2.78
Te 0.8453 0.3453 0.1905  2 Zr 2.78

---

ZrHg2Te: optimized geometry, PBE.

Output
V	24.060	Å³ per atom
total moment	0.000	μB per atom
N(E_F)	0.90	states/eV per atom
space-group type	P4/mmm, No. 123
mass density	10.698	g cm⁻³
raw total energy	-12.5	eV for the cell shown

Lattice parameters (Å, degrees): 4.2544 4.2544 5.3171 90.00 90.00 90.00
With the nearest neighbours (Å) after each atom.
Positions (direct):
Zr 0.0000 0.0000 0.0000  4 Te 3.01
Hg 0.0000 0.5000 0.5000  4 Hg 3.01
Hg 0.5000 0.0000 0.5000  4 Hg 3.01
Te 0.5000 0.5000 0.0000  4 Zr 3.01

---

ZrHg2Te: optimized geometry, PBE.

Output
V	24.948	Å³ per atom
total moment	0.000	μB per atom
N(E_F)	0.84	states/eV per atom
space-group type	Cmmm, No. 65
mass density	10.317	g cm⁻³
raw total energy	-12.0	eV for the cell shown

Lattice parameters (Å, degrees): 3.2284 3.2284 9.9180 90.00 90.00 105.13
With the nearest neighbours (Å) after each atom.
Positions (direct):
Zr 0.0000 0.0000 0.0000  4 Hg 2.97, 4 Zr 3.23
Hg 0.5000 0.5000 0.2253  2 Zr 2.97, 4 Hg 3.23
Hg 0.5000 0.5000 0.7747  2 Zr 2.97, 4 Hg 3.23
Te 0.0000 0.0000 0.5000  4 Te 3.23, 4 Hg 3.36

---

- Which formula does entry 1 have?
  ZrHgTe2